Here is crystalline LiTlP2 at its relaxed geometry from Alexandria. Energies are from PBEsol.

Results
V = 71 Å³/cell
Space-group type = No. 139
Energy of formation from the pure elements = 134 meV/atom

a b c (Å): 5.7401 5.7401 5.7401
angles (deg): 142.18 142.18 54.55
Fractional coordinates of all 4 atoms:
Li: 0.0000 0.0000 0.0000
Tl: 0.5000 0.5000 0.0000
P: 0.2500 0.7500 0.5000
P: 0.7500 0.2500 0.5000